w:
Material: HoAlTe3
Method: DFT, PBE-GGA
State: relaxed

Calculated values
magnetization: 0.000 μB per atom
density: 4.87 Mg/m³

Cell: 4.2837 7.1525 13.2696 Å, 105.63 90.00 90.00°
Last column: nearest neighbours and their distance in Å.
Fractional positions:
Ho 0.2500 0.0563 0.6527  6 Te 3.01-3.13
Ho 0.7500 0.4036 0.3473  6 Te 3.01-3.13
Al 0.2500 0.7775 0.2603  4 Te 2.61-2.69
Al 0.7500 0.5172 0.7397  4 Te 2.61-2.69
Te 0.7500 0.8913 0.7634  1 Al 2.61
Te 0.7500 0.5855 0.1606  2 Al 2.69
Te 0.7500 0.2625 0.5509  1 Al 2.67
Te 0.2500 0.4249 0.8394  2 Al 2.69
Te 0.2500 0.1279 0.2366  1 Al 2.61
Te 0.2500 0.7116 0.4491  1 Al 2.67



x:
Material: HoAlTe3
Method: DFT, PBE-GGA
State: relaxed

Calculated values
magnetization: 0.000 μB per atom
density: 6.08 Mg/m³

Cell: 7.5284 7.8171 10.7671 Å, 90.00 97.71 90.00°
Last column: nearest neighbours and their distance in Å.
Fractional positions:
Ho 0.9361 0.6334 0.2854  6 Te 3.05-3.28
Ho 0.5639 0.1334 0.2146  6 Te 3.05-3.28
Ho 0.0639 0.3666 0.7146  6 Te 3.05-3.28
Ho 0.4361 0.8666 0.7854  6 Te 3.05-3.28
Al 0.3493 0.6760 0.1241  4 Te 2.61-2.76
Al 0.1507 0.1760 0.3759  4 Te 2.61-2.76
Al 0.6507 0.3240 0.8759  4 Te 2.61-2.76
Al 0.8493 0.8240 0.6241  4 Te 2.61-2.76
Te 0.1505 0.6962 0.5674  1 Al 2.62
Te 0.3495 0.1962 0.9326  1 Al 2.62
Te 0.8495 0.3038 0.4326  1 Al 2.62
Te 0.6505 0.8038 0.0674  1 Al 2.62
Te 0.8508 0.0525 0.8076  2 Al 2.66-2.76
Te 0.6492 0.5525 0.6924  2 Al 2.66-2.76
Te 0.1492 0.9475 0.1924  2 Al 2.66-2.76
Te 0.3508 0.4475 0.3076  2 Al 2.66-2.76
Te 0.6565 0.8358 0.4044  1 Al 2.61
Te 0.8435 0.3358 0.0956  1 Al 2.61
Te 0.3435 0.1642 0.5956  1 Al 2.61
Te 0.1565 0.6642 0.9044  1 Al 2.61



Energy ordering: w at the bottom, the next structure 11.0 kJ/mol of atoms above.